No. 1
Entry from the Alexandria database: a relaxed structure of TmLuCrRu (PBE).

Results
ΔH_f (0 K) = -0.1107 eV per atom

The structure in CIF format:
```
data_TmLuCrRu
_symmetry_space_group_name_H-M 'F -4 3 m'
_symmetry_Int_Tables_number 216
_symmetry_space_group_name_Hall 'F -4 2 3'
_cell_length_a 6.8163
_cell_length_b 6.8163
_cell_length_c 6.8163
_cell_angle_alpha 90.00
_cell_angle_beta 90.00
_cell_angle_gamma 90.00
loop_
_atom_site_label
_atom_site_fract_x
_atom_site_fract_y
_atom_site_fract_z
Tm1 0.0000 0.0000 0.0000
Lu1 0.0000 0.0000 0.5000
Cr1 0.2500 0.2500 0.7500
Ru1 0.2500 0.2500 0.2500
```

No. 2
Entry from the Alexandria database: a relaxed structure of Lu2CrS (PBE).

Results
Raw formation energy = -235 meV per atom

The structure in CIF format:
```
data_Lu2CrS
_symmetry_space_group_name_H-M 'R -3 m'
_symmetry_Int_Tables_number 166
_symmetry_space_group_name_Hall '-R 3 2"'
_cell_length_a 3.4829
_cell_length_b 3.4829
_cell_length_c 27.5274
_cell_angle_alpha 90.00
_cell_angle_beta 90.00
_cell_angle_gamma 120.00
loop_
_atom_site_label
_atom_site_fract_x
_atom_site_fract_y
_atom_site_fract_z
Lu1 0.0000 0.0000 0.1051
Cr1 0.0000 0.0000 0.0000
S1 0.0000 0.0000 0.5000
```

No. 3
Entry from the Alexandria database: a relaxed structure of Lu3CrS6 (PBE).

Results
Raw formation energy = -1692 meV per atom

The structure in CIF format:
```
data_Lu3CrS6
_symmetry_space_group_name_H-M 'P n n m'
_symmetry_Int_Tables_number 58
_cell_length_a 13.0980
_cell_length_b 15.7548
_cell_length_c 3.7007
_cell_angle_alpha 90.00
_cell_angle_beta 90.00
_cell_angle_gamma 90.00
loop_
_symmetry_equiv_pos_as_xyz
'x,y,z'
'-x,-y,-z'
'-x,-y,z'
'x,y,-z'
'x+1/2,-y+1/2,-z+1/2'
'-x+1/2,y+1/2,z+1/2'
'-x+1/2,y+1/2,-z+1/2'
'x+1/2,-y+1/2,z+1/2'
loop_
_atom_site_label
_atom_site_fract_x
_atom_site_fract_y
_atom_site_fract_z
Lu1 0.0491 0.2224 0.0000
Lu2 0.1818 0.6471 0.0000
Lu3 0.2427 0.9008 0.5000
Cr1 0.0000 0.0000 0.5000
Cr2 0.0000 0.5000 0.5000
S1 0.0209 0.4015 0.0000
S2 0.0829 0.9227 0.0000
S3 0.1046 0.7527 0.5000
S4 0.1194 0.1112 0.5000
S5 0.1825 0.5200 0.5000
S6 0.1891 0.2901 0.5000
```

No. 4
Entry from the Alexandria database: a relaxed structure of LuScCr4 (PBE).

Results
ΔH_f (0 K) = 0.1880 eV per atom

The structure in CIF format:
```
data_LuScCr4
_symmetry_space_group_name_H-M 'F -4 3 m'
_symmetry_Int_Tables_number 216
_symmetry_space_group_name_Hall 'F -4 2 3'
_cell_length_a 7.1895
_cell_length_b 7.1895
_cell_length_c 7.1895
_cell_angle_alpha 90.00
_cell_angle_beta 90.00
_cell_angle_gamma 90.00
loop_
_atom_site_label
_atom_site_fract_x
_atom_site_fract_y
_atom_site_fract_z
Lu1 0.0000 0.0000 0.0000
Sc1 0.2500 0.2500 0.7500
Cr1 0.1251 0.1251 0.3749
```

No. 5
Entry from the Alexandria database: a relaxed structure of LuScZnCr (PBE).

Results
ΔH_f (0 K) = -0.0049 eV per atom

The structure in CIF format:
```
data_LuScZnCr
_symmetry_space_group_name_H-M 'F -4 3 m'
_symmetry_Int_Tables_number 216
_symmetry_space_group_name_Hall 'F -4 2 3'
_cell_length_a 6.8522
_cell_length_b 6.8522
_cell_length_c 6.8522
_cell_angle_alpha 90.00
_cell_angle_beta 90.00
_cell_angle_gamma 90.00
loop_
_atom_site_label
_atom_site_fract_x
_atom_site_fract_y
_atom_site_fract_z
Lu1 0.0000 0.0000 0.0000
Sc1 0.0000 0.0000 0.5000
Zn1 0.2500 0.2500 0.2500
Cr1 0.2500 0.2500 0.7500
```

No. 6
Entry from the Alexandria database: a relaxed structure of LuCrSe2 (PBE).

Results
Raw formation energy = -967 meV per atom

The structure in CIF format:
```
data_LuCrSe2
_symmetry_space_group_name_H-M 'R -3 m'
_symmetry_Int_Tables_number 166
_symmetry_space_group_name_Hall '-R 3 2"'
_cell_length_a 4.0211
_cell_length_b 4.0211
_cell_length_c 18.6122
_cell_angle_alpha 90.00
_cell_angle_beta 90.00
_cell_angle_gamma 120.00
loop_
_atom_site_label
_atom_site_fract_x
_atom_site_fract_y
_atom_site_fract_z
Lu1 0.0000 0.0000 0.0000
Cr1 0.0000 0.0000 0.5000
Se1 0.0000 0.0000 0.2467
```

No. 7
Entry from the Alexandria database: a relaxed structure of Lu2CrSe (PBE).

Results
Raw formation energy = -38 meV per atom

The structure in CIF format:
```
data_Lu2CrSe
_symmetry_space_group_name_H-M 'R -3 m'
_symmetry_Int_Tables_number 166
_symmetry_space_group_name_Hall '-R 3 2"'
_cell_length_a 3.5553
_cell_length_b 3.5553
_cell_length_c 28.6368
_cell_angle_alpha 90.00
_cell_angle_beta 90.00
_cell_angle_gamma 120.00
loop_
_atom_site_label
_atom_site_fract_x
_atom_site_fract_y
_atom_site_fract_z
Lu1 0.0000 0.0000 0.1014
Cr1 0.0000 0.0000 0.0000
Se1 0.0000 0.0000 0.5000
```

No. 8
Entry from the Alexandria database: a relaxed structure of LuCrSi2 (PBE).

Results
Raw formation energy = -367 meV per atom

The structure in CIF format:
```
data_LuCrSi2
_symmetry_space_group_name_H-M 'R -3 m'
_symmetry_Int_Tables_number 166
_symmetry_space_group_name_Hall '-R 3 2"'
_cell_length_a 4.0214
_cell_length_b 4.0214
_cell_length_c 14.4766
_cell_angle_alpha 90.00
_cell_angle_beta 90.00
_cell_angle_gamma 120.00
loop_
_atom_site_label
_atom_site_fract_x
_atom_site_fract_y
_atom_site_fract_z
Lu1 0.0000 0.0000 0.0000
Cr1 0.0000 0.0000 0.5000
Si1 0.0000 0.0000 0.2181
```

No. 9
Entry from the Alexandria database: a relaxed structure of LuTaCr4 (PBE).

Results
ΔH_f (0 K) = 0.0586 eV per atom

The structure in CIF format:
```
data_LuTaCr4
_symmetry_space_group_name_H-M 'F -4 3 m'
_symmetry_Int_Tables_number 216
_symmetry_space_group_name_Hall 'F -4 2 3'
_cell_length_a 7.0878
_cell_length_b 7.0878
_cell_length_c 7.0878
_cell_angle_alpha 90.00
_cell_angle_beta 90.00
_cell_angle_gamma 90.00
loop_
_atom_site_label
_atom_site_fract_x
_atom_site_fract_y
_atom_site_fract_z
Lu1 0.0000 0.0000 0.0000
Ta1 0.2500 0.2500 0.2500
Cr1 0.1249 0.1249 0.6249
```

No. 10
Entry from the Alexandria database: a relaxed structure of TbLuZnCr (PBE).

Results
ΔH_f (0 K) = 0.0057 eV per atom

The structure in CIF format:
```
data_TbLuZnCr
_symmetry_space_group_name_H-M 'F -4 3 m'
_symmetry_Int_Tables_number 216
_symmetry_space_group_name_Hall 'F -4 2 3'
_cell_length_a 7.0728
_cell_length_b 7.0728
_cell_length_c 7.0728
_cell_angle_alpha 90.00
_cell_angle_beta 90.00
_cell_angle_gamma 90.00
loop_
_atom_site_label
_atom_site_fract_x
_atom_site_fract_y
_atom_site_fract_z
Tb1 0.0000 0.0000 0.0000
Lu1 0.0000 0.0000 0.5000
Zn1 0.2500 0.2500 0.7500
Cr1 0.2500 0.2500 0.2500
```

No. 11
Entry from the Alexandria database: a relaxed structure of LuCrTc (PBE).

Results
ΔH_f (0 K) = 0.0724 eV per atom

The structure in CIF format:
```
data_LuCrTc
_symmetry_space_group_name_H-M 'I 4 m m'
_symmetry_Int_Tables_number 107
_symmetry_space_group_name_Hall 'I 4 -2'
_cell_length_a 3.1175
_cell_length_b 3.1175
_cell_length_c 10.3698
_cell_angle_alpha 90.00
_cell_angle_beta 90.00
_cell_angle_gamma 90.00
loop_
_atom_site_label
_atom_site_fract_x
_atom_site_fract_y
_atom_site_fract_z
Lu1 0.0000 0.0000 0.0000
Cr1 0.0000 0.0000 0.3107
Tc1 0.0000 0.0000 0.6908
```

No. 12
Entry from the Alexandria database: a relaxed structure of LuZrCrTc (PBE).

Results
ΔH_f (0 K) = -0.0067 eV per atom

The structure in CIF format:
```
data_LuZrCrTc
_symmetry_space_group_name_H-M 'F -4 3 m'
_symmetry_Int_Tables_number 216
_symmetry_space_group_name_Hall 'F -4 2 3'
_cell_length_a 6.7204
_cell_length_b 6.7204
_cell_length_c 6.7204
_cell_angle_alpha 90.00
_cell_angle_beta 90.00
_cell_angle_gamma 90.00
loop_
_atom_site_label
_atom_site_fract_x
_atom_site_fract_y
_atom_site_fract_z
Lu1 0.0000 0.0000 0.0000
Zr1 0.0000 0.0000 0.5000
Cr1 0.2500 0.2500 0.7500
Tc1 0.2500 0.2500 0.2500
```

No. 13
Entry from the Alexandria database: a relaxed structure of LuCrTe2 (PBE).

Results
Raw formation energy = -187 meV per atom

The structure in CIF format:
```
data_LuCrTe2
_symmetry_space_group_name_H-M 'R -3 m'
_symmetry_Int_Tables_number 166
_symmetry_space_group_name_Hall '-R 3 2"'
_cell_length_a 3.9286
_cell_length_b 3.9286
_cell_length_c 27.0354
_cell_angle_alpha 90.00
_cell_angle_beta 90.00
_cell_angle_gamma 120.00
loop_
_atom_site_label
_atom_site_fract_x
_atom_site_fract_y
_atom_site_fract_z
Lu1 0.0000 0.0000 0.0000
Cr1 0.0000 0.0000 0.5000
Te1 0.0000 0.0000 0.1104
```

No. 14
Entry from the Alexandria database: a relaxed structure of LuTiCr4 (PBE).

Results
ΔH_f (0 K) = 0.1038 eV per atom

The structure in CIF format:
```
data_LuTiCr4
_symmetry_space_group_name_H-M 'F -4 3 m'
_symmetry_Int_Tables_number 216
_symmetry_space_group_name_Hall 'F -4 2 3'
_cell_length_a 7.0675
_cell_length_b 7.0675
_cell_length_c 7.0675
_cell_angle_alpha 90.00
_cell_angle_beta 90.00
_cell_angle_gamma 90.00
loop_
_atom_site_label
_atom_site_fract_x
_atom_site_fract_y
_atom_site_fract_z
Lu1 0.0000 0.0000 0.0000
Ti1 0.2500 0.2500 0.2500
Cr1 0.1250 0.1250 0.6250
```

No. 15
Entry from the Alexandria database: a relaxed structure of TmLuZnCr (PBE).

Results
ΔH_f (0 K) = -0.0042 eV per atom

The structure in CIF format:
```
data_TmLuZnCr
_symmetry_space_group_name_H-M 'F -4 3 m'
_symmetry_Int_Tables_number 216
_symmetry_space_group_name_Hall 'F -4 2 3'
_cell_length_a 7.0101
_cell_length_b 7.0101
_cell_length_c 7.0101
_cell_angle_alpha 90.00
_cell_angle_beta 90.00
_cell_angle_gamma 90.00
loop_
_atom_site_label
_atom_site_fract_x
_atom_site_fract_y
_atom_site_fract_z
Tm1 0.0000 0.0000 0.0000
Lu1 0.0000 0.0000 0.5000
Zn1 0.2500 0.2500 0.7500
Cr1 0.2500 0.2500 0.2500
```

No. 16
Entry from the Alexandria database: a relaxed structure of LuCr4W (PBE).

Results
ΔH_f (0 K) = 0.1229 eV per atom

The structure in CIF format:
```
data_LuCr4W
_symmetry_space_group_name_H-M 'F -4 3 m'
_symmetry_Int_Tables_number 216
_symmetry_space_group_name_Hall 'F -4 2 3'
_cell_length_a 7.0153
_cell_length_b 7.0153
_cell_length_c 7.0153
_cell_angle_alpha 90.00
_cell_angle_beta 90.00
_cell_angle_gamma 90.00
loop_
_atom_site_label
_atom_site_fract_x
_atom_site_fract_y
_atom_site_fract_z
Lu1 0.0000 0.0000 0.0000
Cr1 0.1245 0.1245 0.3755
W1 0.2500 0.2500 0.7500
```

No. 17
Entry from the Alexandria database: a relaxed structure of YLuZnCr (PBE).

Results
ΔH_f (0 K) = 0.0040 eV per atom

The structure in CIF format:
```
data_YLuZnCr
_symmetry_space_group_name_H-M 'F -4 3 m'
_symmetry_Int_Tables_number 216
_symmetry_space_group_name_Hall 'F -4 2 3'
_cell_length_a 7.0763
_cell_length_b 7.0763
_cell_length_c 7.0763
_cell_angle_alpha 90.00
_cell_angle_beta 90.00
_cell_angle_gamma 90.00
loop_
_atom_site_label
_atom_site_fract_x
_atom_site_fract_y
_atom_site_fract_z
Y1 0.0000 0.0000 0.0000
Lu1 0.0000 0.0000 0.5000
Zn1 0.2500 0.2500 0.2500
Cr1 0.2500 0.2500 0.7500
```

No. 18
Entry from the Alexandria database: a relaxed structure of Lu2ZnCr (PBE).

Results
ΔH_f (0 K) = -0.0047 eV per atom
Energy relative to the lowest polymorph listed for this composition = 8 meV/atom

The structure in CIF format:
```
data_Lu2ZnCr
_symmetry_space_group_name_H-M 'F m -3 m'
_symmetry_Int_Tables_number 225
_symmetry_space_group_name_Hall '-F 4 2 3'
_cell_length_a 6.9872
_cell_length_b 6.9872
_cell_length_c 6.9872
_cell_angle_alpha 90.00
_cell_angle_beta 90.00
_cell_angle_gamma 90.00
loop_
_atom_site_label
_atom_site_fract_x
_atom_site_fract_y
_atom_site_fract_z
Lu1 0.2500 0.2500 0.2500
Zn1 0.0000 0.0000 0.0000
Cr1 0.0000 0.0000 0.5000
```

No. 19
Entry from the Alexandria database: a relaxed structure of Lu2ZnCr (PBE).

Results
ΔH_f (0 K) = -0.0126 eV per atom
Energy relative to the lowest polymorph listed for this composition = 0 meV/atom

The structure in CIF format:
```
data_Lu2ZnCr
_symmetry_space_group_name_H-M 'P 4/m m m'
_symmetry_Int_Tables_number 123
_symmetry_space_group_name_Hall '-P 4 2'
_cell_length_a 3.3800
_cell_length_b 3.3800
_cell_length_c 7.3436
_cell_angle_alpha 90.00
_cell_angle_beta 90.00
_cell_angle_gamma 90.00
loop_
_atom_site_label
_atom_site_fract_x
_atom_site_fract_y
_atom_site_fract_z
Lu1 0.0000 0.0000 0.2389
Zn1 0.5000 0.5000 0.5000
Cr1 0.5000 0.5000 0.0000
```

No. 20
Entry from the Alexandria database: a relaxed structure of LuZrCr4 (PBE).

Results
ΔH_f (0 K) = 0.1029 eV per atom

The structure in CIF format:
```
data_LuZrCr4
_symmetry_space_group_name_H-M 'F -4 3 m'
_symmetry_Int_Tables_number 216
_symmetry_space_group_name_Hall 'F -4 2 3'
_cell_length_a 7.2010
_cell_length_b 7.2010
_cell_length_c 7.2010
_cell_angle_alpha 90.00
_cell_angle_beta 90.00
_cell_angle_gamma 90.00
loop_
_atom_site_label
_atom_site_fract_x
_atom_site_fract_y
_atom_site_fract_z
Lu1 0.0000 0.0000 0.0000
Zr1 0.2500 0.2500 0.2500
Cr1 0.1251 0.1251 0.6251
```

no.,DFT total energy (eV/atom)
1,-7.084
2,-5.934
3,-6.487
4,-8.036
5,-5.442
6,-6.246
7,-5.575
8,-6.615
9,-9.086
10,-5.006
11,-8.098
12,-8.271
13,-5.294
14,-8.381
15,-4.977
16,-9.205
17,-5.467
18,-4.990
19,-4.997
20,-8.491